Compound: ThIn2Ga
Source: Alexandria
Functional: PBE
Structure: optimized geometry

Unit cell a=4.8846 b=4.5265 c=4.5265 alpha=90.00 beta=90.00 gamma=90.00
Atoms (fractional coordinates):
Th (0.5000, 0.5000, 0.5000)
Ga (0.5000, 0.0000, 0.0000)
In (0.0000, 0.0000, 0.5000)
In (0.0000, 0.5000, 0.0000)

Summary:
DOS(E_F) in states/eV/cell: 2.71
DFT formation energy in eV/atom: -0.372


Compound: WSe4Br
Source: Alexandria
Functional: PBE
Structure: optimized geometry

Unit cell a=5.6740 b=5.6740 c=5.6740 alpha=60.00 beta=60.00 gamma=60.00
Site moments in Bohr magnetons follow the coordinates.
Atoms (fractional coordinates):
Br (0.0000, 0.0000, 0.0000)  -0.02
Se (0.8719, 0.3760, 0.3760)  -0.06
Se (0.3760, 0.3760, 0.3760)  -0.06
W (0.7500, 0.7500, 0.7500)  2.73
Se (0.3760, 0.3760, 0.8719)  -0.06
Se (0.3760, 0.8719, 0.3760)  -0.06

Summary:
Formation energy from raw total energies in eV/atom: 1.160
DOS(E_F) in states/eV/cell: 4.81


Compound: Na4Y3SbO8
Source: Alexandria
Functional: PBE
Structure: optimized geometry

Unit cell a=6.8800 b=6.8660 c=6.8804 alpha=120.06 beta=120.00 gamma=90.00
Atoms (fractional coordinates):
Sb (0.0000, 0.5000, 0.0000)
Na (0.5000, 0.0000, 0.0000)
Y (0.5000, 0.5000, 0.0000)
Na (0.5000, 0.0000, 0.5000)
O (0.2409, 0.7153, 0.9743)
O (0.2409, 0.7153, 0.4819)
O (0.7333, 0.7153, 0.9743)
O (0.7367, 0.7101, 0.4733)
O (0.2667, 0.2847, 0.0257)
Y (0.5000, 0.5000, 0.5000)
O (0.7591, 0.2847, 0.0257)
Y (0.0000, 0.5000, 0.5000)
O (0.7591, 0.2847, 0.5181)
Na (0.0000, 0.0000, 0.0000)
O (0.2633, 0.2899, 0.5267)
Na (0.0000, 0.0000, 0.5000)

Summary:
Formation energy from raw total energies in eV/atom: -2.408
DOS(E_F) in states/eV/cell: 0.00


Compound: La2YIr
Source: Alexandria
Functional: PBE
Structure: optimized geometry

Unit cell a=4.1598 b=4.7561 c=6.8757 alpha=63.64 beta=90.00 gamma=90.00
Atoms (fractional coordinates):
La (0.0000, 0.5900, 0.5465)
Ir (0.5000, 0.7500, 0.7500)
Y (0.5000, 0.2500, 0.2500)
La (0.0000, 0.9100, 0.9535)

Summary:
DOS(E_F) in states/eV/cell: 3.84
DFT formation energy in eV/atom: -0.304


Compound: CaPm2Tl
Source: Alexandria
Functional: PBE
Structure: optimized geometry

Unit cell a=5.6127 b=5.6127 c=5.6127 alpha=60.00 beta=60.00 gamma=60.00
Atoms (fractional coordinates):
Tl (0.5000, 0.5000, 0.5000)
Pm (0.7500, 0.7500, 0.7500)
Ca (0.0000, 0.0000, 0.0000)
Pm (0.2500, 0.2500, 0.2500)

Summary:
DOS(E_F) in states/eV/cell: 3.02
DFT formation energy in eV/atom: -0.106


Compound: KCeDy4S8
Source: Alexandria
Functional: PBE
Structure: optimized geometry

Unit cell a=8.2069 b=8.2069 c=8.3362 alpha=60.51 beta=60.51 gamma=60.00
Site moments in Bohr magnetons follow the coordinates.
Atoms (fractional coordinates):
Dy (0.0046, 0.0046, 0.5034)  0.01
S (0.7523, 0.7523, 0.2643)  -0.01
K (0.3725, 0.3725, 0.8826)  0.00
S (0.7994, 0.2380, 0.7246)  -0.01
Dy (0.0046, 0.4874, 0.5034)  0.01
Dy (0.6258, 0.6258, 0.1225)  0.01
Dy (0.4874, 0.0046, 0.5034)  0.01
S (0.2380, 0.2380, 0.7246)  -0.01
S (0.2380, 0.7994, 0.7246)  -0.01
Ce (0.0038, 0.0038, 0.9887)  0.92
S (0.2310, 0.7523, 0.2643)  -0.01
S (0.2329, 0.2329, 0.3013)  0.00
S (0.7574, 0.7574, 0.7277)  0.00
S (0.7523, 0.2310, 0.2643)  -0.01

Summary:
Formation energy from raw total energies in eV/atom: -1.907
DOS(E_F) in states/eV/cell: 8.19


Compound: CoSnHRh2
Source: Alexandria
Functional: PBE
Structure: optimized geometry

Unit cell a=3.9800 b=3.9800 c=3.8231 alpha=90.00 beta=90.00 gamma=90.00
Atoms (fractional coordinates):
Sn (0.5000, 0.5000, 0.5000)
Rh (0.5000, 0.0000, 0.0000)
Rh (0.0000, 0.5000, 0.0000)
H (0.0000, 0.0000, 0.0000)
Co (0.0000, 0.0000, 0.5000)

Summary:
DFT total energy in eV per atom: -6.030
DOS(E_F) in states/eV/cell: 4.58


Compound: YMg2W
Source: Alexandria
Functional: PBE
Structure: optimized geometry

Unit cell a=5.4279 b=5.4279 c=5.4279 alpha=132.71 beta=132.71 gamma=69.11
Site moments in Bohr magnetons follow the coordinates.
Atoms (fractional coordinates):
Mg (0.0000, 0.0000, 0.0000)  0.00
W (0.2500, 0.7500, 0.5000)  0.80
Mg (0.5000, 0.5000, 0.0000)  0.00
Y (0.7500, 0.2500, 0.5000)  -0.01

Summary:
DOS(E_F) in states/eV/cell: 3.94
DFT formation energy in eV/atom: 0.464